{"formula": "Dy5InHg2", "functional": "PBE-GGA", "state": "optimized geometry", "ef_ev_per_atom": -0.365, "e_tot_ev_per_atom": -3.66, "space_group": "I4/mcm (140)", "cell": [[-4.142, 4.142, 6.528], [4.142, -4.142, 6.528], [4.142, 4.142, -6.528]], "species": ["Dy", "Dy", "Dy", "Dy", "Dy", "Dy", "Dy", "Dy", "Dy", "Dy", "In", "In", "Hg", "Hg", "Hg", "Hg"], "frac_coords": [[0.000, 0.000, 0.000], [0.004, 0.504, 0.808], [0.196, 0.004, 0.500], [0.304, 0.804, 0.808], [0.496, 0.304, 0.500], [0.500, 0.500, 0.000], [0.504, 0.696, 0.500], [0.696, 0.196, 0.192], [0.804, 0.996, 0.500], [0.996, 0.496, 0.192], [0.250, 0.250, 0.000], [0.750, 0.750, 0.000], [0.140, 0.360, 0.500], [0.360, 0.860, 0.221], [0.640, 0.140, 0.779], [0.860, 0.640, 0.500]]}


{"formula": "DyInHg3", "functional": "PBE-GGA", "state": "optimized geometry", "ef_ev_per_atom": -0.163, "e_tot_ev_per_atom": -1.81, "space_group": "C2/m (12)", "cell": [[7.827, -3.226, 0.000], [7.827, 3.226, 0.000], [-0.459, 0.000, 5.519]], "species": ["Dy", "Dy", "In", "In", "Hg", "Hg", "Hg", "Hg", "Hg", "Hg"], "frac_coords": [[0.190, 0.190, 0.306], [0.810, 0.810, 0.694], [0.355, 0.355, 0.738], [0.645, 0.645, 0.262], [0.000, 0.000, 0.000], [0.000, 0.000, 0.500], [0.095, 0.602, 0.209], [0.398, 0.905, 0.791], [0.602, 0.095, 0.209], [0.905, 0.398, 0.791]]}


{"formula": "Dy3In2Hg4", "functional": "PBE-GGA", "state": "optimized geometry", "ef_ev_per_atom": -0.420, "e_tot_ev_per_atom": -2.70, "space_group": "C2/m (12)", "cell": [[5.555, -2.455, 0.000], [5.555, 2.455, 0.000], [-4.291, 0.000, 8.220]], "species": ["Dy", "Dy", "Dy", "In", "In", "Hg", "Hg", "Hg", "Hg"], "frac_coords": [[0.000, 0.000, 0.000], [0.335, 0.335, 0.328], [0.665, 0.665, 0.672], [0.391, 0.391, 0.726], [0.609, 0.609, 0.274], [0.088, 0.088, 0.423], [0.307, 0.307, 0.977], [0.693, 0.693, 0.023], [0.912, 0.912, 0.577]]}


{"formula": "Dy2InHg6", "functional": "PBE-GGA", "state": "optimized geometry", "ef_ev_per_atom": -0.279, "de_polymorph_mev_per_atom": 0, "e_tot_ev_per_atom": -1.81, "space_group": "C2/m (12)", "cell": [[4.474, -2.583, 0.000], [4.474, 2.583, 0.000], [-0.002, 0.000, 9.474]], "species": ["Dy", "Dy", "In", "Hg", "Hg", "Hg", "Hg", "Hg", "Hg"], "frac_coords": [[0.167, 0.167, 0.284], [0.833, 0.833, 0.716], [0.500, 0.500, 0.500], [0.167, 0.167, 0.616], [0.169, 0.169, 0.944], [0.500, 0.500, 0.164], [0.500, 0.500, 0.836], [0.831, 0.831, 0.056], [0.833, 0.833, 0.384]]}